Here is an optimized crystal structure of Li3Dy2TiSe6 from the Alexandria database. Energies are from PBE-GGA.

The structure in POSCAR format:
```
Li3Dy2TiSe6
1.0
3.4260 -5.9271 0.0000
3.4260 5.9271 0.0000
-2.2819 0.0000 6.4697
Li Dy Ti Se
3 2 1 6
Direct
0.0000 0.0000 0.0000 Li
0.3341 0.6659 0.0000 Li
0.6659 0.3341 0.0000 Li
0.1676 0.8324 0.5000 Dy
0.8324 0.1676 0.5000 Dy
0.5000 0.5000 0.5000 Ti
0.1020 0.4158 0.2502 Se
0.2695 0.2695 0.7444 Se
0.4158 0.1020 0.2502 Se
0.5842 0.8980 0.7498 Se
0.7305 0.7305 0.2556 Se
0.8980 0.5842 0.7498 Se
```

Summary:
Crystal system ... monoclinic
SG ... C2/m, No. 12
Size of the total moment ... 1.0 Bohr magnetons per cell
VASP energy ... -5.14 eV/atom